Version w
# PmPrSmY, optimized geometry, DFT PBE
data_PmPrSmY
_symmetry_space_group_name_H-M 'F -4 3 m'
_symmetry_Int_Tables_number 216
_symmetry_space_group_name_Hall 'F -4 2 3'
_cell_length_a 8.188
_cell_length_b 8.188
_cell_length_c 8.188
_cell_angle_alpha 90.00
_cell_angle_beta 90.00
_cell_angle_gamma 90.00
loop_
_atom_site_label
_atom_site_type_symbol
_atom_site_fract_x
_atom_site_fract_y
_atom_site_fract_z
_atom_site_occupancy
Pm1 Pm 0.000 0.000 0.000 1
Pr1 Pr 0.000 0.000 0.500 1
Sm1 Sm 0.250 0.250 0.750 1
Y1 Y 0.250 0.250 0.250 1
# - volume (Å³/cell) = 549.0
# - DOS(E_F) (states/eV/cell) = 35.1
# - magnetization (μB per atom) = 0.000

***

Version x
# PmPrSmY, optimized geometry, DFT PBE
data_PmPrSmY
_symmetry_space_group_name_H-M 'I -4 m 2'
_symmetry_Int_Tables_number 119
_symmetry_space_group_name_Hall 'I -4 -2'
_cell_length_a 5.159
_cell_length_b 5.159
_cell_length_c 10.283
_cell_angle_alpha 90.00
_cell_angle_beta 90.00
_cell_angle_gamma 90.00
loop_
_atom_site_label
_atom_site_type_symbol
_atom_site_fract_x
_atom_site_fract_y
_atom_site_fract_z
_atom_site_occupancy
Pm1 Pm 0.000 0.000 0.000 1
Pr1 Pr 0.000 0.500 0.750 1
Sm1 Sm 0.000 0.000 0.500 1
Y1 Y 0.000 0.500 0.250 1
# - volume (Å³/cell) = 273.7
# - DOS(E_F) (states/eV/cell) = 11.9
# - magnetization (μB per atom) = 0.000

***

Last place for stability: version w

***

Version w
# PmPrSmZn, optimized geometry, DFT PBE
data_PmPrSmZn
_symmetry_space_group_name_H-M 'F -4 3 m'
_symmetry_Int_Tables_number 216
_symmetry_space_group_name_Hall 'F -4 2 3'
_cell_length_a 7.754
_cell_length_b 7.754
_cell_length_c 7.754
_cell_angle_alpha 90.00
_cell_angle_beta 90.00
_cell_angle_gamma 90.00
loop_
_atom_site_label
_atom_site_type_symbol
_atom_site_fract_x
_atom_site_fract_y
_atom_site_fract_z
_atom_site_occupancy
Pm1 Pm 0.000 0.000 0.000 1
Pr1 Pr 0.250 0.250 0.750 1
Sm1 Sm 0.250 0.250 0.250 1
Zn1 Zn 0.000 0.000 0.500 1
# - volume (Å³/cell) = 466.3
# - DOS(E_F) (states/eV/cell) = 20.5
# - magnetization (μB per atom) = 0.000

***

Version x
# PmPrSmZn, optimized geometry, DFT PBE
data_PmPrSmZn
_symmetry_space_group_name_H-M 'P 4 m m'
_symmetry_Int_Tables_number 99
_cell_length_a 3.668
_cell_length_b 3.668
_cell_length_c 8.845
_cell_angle_alpha 90.00
_cell_angle_beta 90.00
_cell_angle_gamma 90.00
loop_
_symmetry_equiv_pos_as_xyz
'x,y,z'
'-y,x,z'
'-x,-y,z'
'y,-x,z'
'-x,y,z'
'y,x,z'
'x,-y,z'
'-y,-x,z'
loop_
_atom_site_label
_atom_site_type_symbol
_atom_site_fract_x
_atom_site_fract_y
_atom_site_fract_z
_atom_site_occupancy
Pm1 Pm 0.000 0.000 0.000 1
Pr1 Pr 0.500 0.500 0.703 1
Sm1 Sm 0.000 0.000 0.408 1
Zn1 Zn 0.500 0.500 0.206 1
# - volume (Å³/cell) = 119.0
# - DOS(E_F) (states/eV/cell) = 4.3
# - magnetization (μB per atom) = 0.000

***

Last place for stability: version w

***

Version w
# Pm3PrSn2, optimized geometry, DFT PBE
data_Pm3PrSn2
_symmetry_space_group_name_H-M 'R -3 c'
_symmetry_Int_Tables_number 167
_symmetry_space_group_name_Hall '-R 3 2"c'
_cell_length_a 7.9262
_cell_length_b 7.9262
_cell_length_c 22.5000
_cell_angle_alpha 90.00
_cell_angle_beta 90.00
_cell_angle_gamma 120.00
loop_
_atom_site_label
_atom_site_type_symbol
_atom_site_fract_x
_atom_site_fract_y
_atom_site_fract_z
_atom_site_occupancy
Pm1 Pm 0.0000 0.2720 0.2500 1
Pr1 Pr 0.0000 0.0000 0.0000 1
Sn1 Sn 0.0000 0.0000 0.1446 1
# - volume (Å³/cell) = 1224.2
# - DOS(E_F) (states/eV/cell) = 40.3
# - magnetization (μB per atom) = 0.001

***

Version x
# Pm3PrSn2, optimized geometry, DFT PBE
data_Pm3PrSn2
_symmetry_space_group_name_H-M 'P -4 m 2'
_symmetry_Int_Tables_number 115
_cell_length_a 4.634
_cell_length_b 4.634
_cell_length_c 8.838
_cell_angle_alpha 90.00
_cell_angle_beta 90.00
_cell_angle_gamma 90.00
loop_
_symmetry_equiv_pos_as_xyz
'x,y,z'
'y,-x,-z'
'-x,-y,z'
'-y,x,-z'
'-x,y,z'
'-y,-x,-z'
'x,-y,z'
'y,x,-z'
loop_
_atom_site_label
_atom_site_type_symbol
_atom_site_fract_x
_atom_site_fract_y
_atom_site_fract_z
_atom_site_occupancy
Pm1 Pm 0.000 0.000 0.000 1
Pm2 Pm 0.000 0.500 0.649 1
Pr1 Pr 0.500 0.500 0.000 1
Sn1 Sn 0.000 0.500 0.282 1
# - volume (Å³/cell) = 189.8
# - DOS(E_F) (states/eV/cell) = 7.8
# - magnetization (μB per atom) = 0.000

***

Last place for stability: version w